Entry from Alexandria: TbGdFeCo after structural relaxation (PBE).

Lattice parameters (Å, degrees): 4.7844 4.7844 4.7844 60.00 60.00 60.00
Last column: nearest neighbours and their distance in Å.
Fractional positions:
Tb1 0.0000 0.0000 0.0000  4 Fe 2.93, 4 Co 2.93
Gd1 0.5000 0.5000 0.5000  4 Fe 2.93, 4 Co 2.93
Fe1 0.7500 0.7500 0.7500  4 Tb 2.93, 4 Gd 2.93
Co1 0.2500 0.2500 0.2500  4 Gd 2.93, 4 Tb 2.93

Values from the calculation:
raw total energy	-34.0	eV/cell
volume	19.4	A^3/atom
DFT formation energy	0.06	eV/atom

Entry from Alexandria: GdTmFeCo after structural relaxation (PBE).

Lattice parameters (Å, degrees): 4.7229 4.7229 4.7229 60.00 60.00 60.00
Last column: nearest neighbours and their distance in Å.
Fractional positions:
Gd1 0.0000 0.0000 0.0000  4 Fe 2.89, 4 Co 2.89
Tm1 0.5000 0.5000 0.5000  4 Fe 2.89, 4 Co 2.89
Fe1 0.7500 0.7500 0.7500  4 Gd 2.89, 4 Tm 2.89
Co1 0.2500 0.2500 0.2500  4 Gd 2.89, 4 Tm 2.89

Values from the calculation:
raw total energy	-33.9	eV/cell
volume	18.6	A^3/atom
DFT formation energy	0.05	eV/atom

Entry from Alexandria: GdZrFeCo after structural relaxation (PBE).

Lattice parameters (Å, degrees): 4.6229 4.6229 4.6229 60.00 60.00 60.00
Last column: nearest neighbours and their distance in Å.
Fractional positions:
Gd1 0.0000 0.0000 0.0000  4 Fe 2.83, 4 Co 2.83
Zr1 0.5000 0.5000 0.5000  4 Fe 2.83, 4 Co 2.83
Fe1 0.7500 0.7500 0.7500  4 Zr 2.83, 4 Gd 2.83
Co1 0.2500 0.2500 0.2500  4 Gd 2.83, 4 Zr 2.83

Values from the calculation:
raw total energy	-38.4	eV/cell
volume	17.5	A^3/atom
DFT formation energy	-0.04	eV/atom

Entry from Alexandria: Fe2Co2Ge after structural relaxation (PBE).

Lattice parameters (Å, degrees): 4.3149 4.3149 4.2797 90.00 90.00 90.00
Last column: nearest neighbours and their distance in Å.
Fractional positions:
Fe1 0.0000 0.5000 0.0000  2 Co 2.16
Fe2 0.5000 0.0000 0.0000  2 Co 2.16
Co1 0.0000 0.0000 0.0000  2 Co 2.14, 4 Fe 2.16
Co2 0.0000 0.0000 0.5000  2 Co 2.14
Ge1 0.5000 0.5000 0.5000  8 Fe 3.04, 4 Co 3.05

Values from the calculation:
energy above the lowest structure with this stoichiometry	1039	meV per atom
raw total energy	-31.2	eV/cell
volume	15.9	A^3/atom
DFT formation energy	0.92	eV/atom

Entry from Alexandria: FeCo2Ge2 after structural relaxation (PBE).

Lattice parameters (Å, degrees): 6.8034 6.8034 2.7142 90.00 90.00 90.00
Last column: nearest neighbours and their distance in Å.
Fractional positions:
Fe1 0.0000 0.0000 0.0000  4 Co 2.65, 2 Fe 2.71, 8 Ge 2.88
Fe2 0.5000 0.5000 0.0000  4 Co 2.65, 2 Fe 2.71, 8 Ge 2.88
Co1 0.1349 0.3651 0.0000  6 Ge 2.37-2.45, 1 Co 2.60, 2 Fe 2.65
Co2 0.3651 0.8651 0.0000  6 Ge 2.37-2.45, 1 Co 2.60, 2 Fe 2.65
Co3 0.6349 0.1349 0.0000  6 Ge 2.37-2.45, 1 Co 2.60, 2 Fe 2.65
Co4 0.8651 0.6349 0.0000  6 Ge 2.37-2.45, 1 Co 2.60, 2 Fe 2.65
Ge1 0.1634 0.6634 0.5000  6 Co 2.37-2.45
Ge2 0.3366 0.1634 0.5000  6 Co 2.37-2.45
Ge3 0.6634 0.8366 0.5000  6 Co 2.37-2.45
Ge4 0.8366 0.3366 0.5000  6 Co 2.37-2.45

Values from the calculation:
raw total energy	-63.9	eV/cell
volume	12.6	A^3/atom
DFT formation energy	-0.01	eV/atom

Entry from Alexandria: FeCo4Ge2 after structural relaxation (PBE).

Lattice parameters (Å, degrees): 6.8489 6.8489 6.8489 33.44 33.44 33.44
Last column: nearest neighbours and their distance in Å.
Fractional positions:
Fe1 0.0000 0.0000 0.0000  8 Co 2.41-2.42
Co1 0.1248 0.1248 0.1248  4 Ge 2.35-2.39, 1 Fe 2.42
Co2 0.3744 0.3744 0.3744  3 Fe 2.41, 4 Ge 2.45-2.49
Co3 0.6256 0.6256 0.6256  3 Fe 2.41, 4 Ge 2.45-2.49
Co4 0.8752 0.8752 0.8752  4 Ge 2.35-2.39, 1 Fe 2.42
Ge1 0.2458 0.2458 0.2458  8 Co 2.35-2.49
Ge2 0.7542 0.7542 0.7542  8 Co 2.35-2.49

Values from the calculation:
raw total energy	-46.7	eV/cell
volume	12.4	A^3/atom
DFT formation energy	-0.08	eV/atom

Entry from Alexandria: FeCoGe after structural relaxation (PBE).

Lattice parameters (Å, degrees): 3.9942 3.9942 2.6958 90.00 90.00 120.00
Last column: nearest neighbours and their distance in Å.
Fractional positions:
Fe1 0.0000 0.0000 0.0000  6 Ge 2.67-2.68, 6 Co 2.67, 2 Fe 2.70
Co1 0.3333 0.6667 0.5016  3 Ge 2.31
Ge1 0.6667 0.3333 0.4966  3 Co 2.31

Values from the calculation:
raw total energy	-20.3	eV/cell
volume	12.4	A^3/atom
DFT formation energy	-0.05	eV/atom

Entry from Alexandria: Fe7Co3Ge after structural relaxation (PBE).

Lattice parameters (Å, degrees): 10.5532 10.5532 9.1559 90.00 90.00 164.98
Last column: nearest neighbours and their distance in Å.
Fractional positions:
Fe1 0.0168 0.9832 0.6178  2 Fe 2.27-2.42, 2 Co 2.46, 2 Ge 2.48
Fe2 0.0168 0.9832 0.8822  2 Fe 2.27-2.42, 2 Co 2.46, 2 Ge 2.48
Fe3 0.1453 0.8547 0.2500  4 Co 2.47, 6 Fe 2.52-2.76
Fe4 0.1519 0.8481 0.5647  2 Fe 2.40, 4 Co 2.46-2.56, 2 Ge 2.47
Fe5 0.1519 0.8481 0.9353  2 Fe 2.40, 4 Co 2.46-2.56, 2 Ge 2.47
Fe6 0.2827 0.7173 0.5896  6 Fe 2.40-2.54, 2 Co 2.45
Fe7 0.2827 0.7173 0.9104  6 Fe 2.40-2.54, 2 Co 2.45
Fe8 0.7173 0.2827 0.0896  6 Fe 2.40-2.54, 2 Co 2.45
Fe9 0.7173 0.2827 0.4104  6 Fe 2.40-2.54, 2 Co 2.45
Fe10 0.8481 0.1519 0.0647  2 Fe 2.40, 4 Co 2.46-2.56, 2 Ge 2.47
Fe11 0.8481 0.1519 0.4353  2 Fe 2.40, 4 Co 2.46-2.56, 2 Ge 2.47
Fe12 0.8547 0.1453 0.7500  4 Co 2.47, 6 Fe 2.52-2.76
Fe13 0.9832 0.0168 0.1178  2 Fe 2.27-2.42, 2 Co 2.46, 2 Ge 2.48
Fe14 0.9832 0.0168 0.3822  2 Fe 2.27-2.42, 2 Co 2.46, 2 Ge 2.48
Co1 0.2842 0.7158 0.2500  8 Fe 2.45-2.56, 1 Ge 2.50
Co2 0.4203 0.5797 0.5847  8 Fe 2.46-2.66
Co3 0.4203 0.5797 0.9153  8 Fe 2.46-2.66
Co4 0.5797 0.4203 0.0847  8 Fe 2.46-2.66
Co5 0.5797 0.4203 0.4153  8 Fe 2.46-2.66
Co6 0.7158 0.2842 0.7500  8 Fe 2.45-2.56, 1 Ge 2.50
Ge1 0.4034 0.5966 0.2500  8 Fe 2.47-2.48, 1 Co 2.50, 2 Ge 2.76
Ge2 0.5966 0.4034 0.7500  8 Fe 2.47-2.48, 1 Co 2.50, 2 Ge 2.76

Values from the calculation:
raw total energy	-168.3	eV/cell
volume	12.0	A^3/atom
DFT formation energy	0.09	eV/atom